[1]
# PBE POs3, optimized geometry
data_POs3
_symmetry_space_group_name_H-M 'I m m m'
_symmetry_Int_Tables_number 71
_symmetry_space_group_name_Hall '-I 2 2'
_cell_length_a 2.8514
_cell_length_b 4.3375
_cell_length_c 8.8492
_cell_angle_alpha 90.00
_cell_angle_beta 90.00
_cell_angle_gamma 90.00
loop_
_atom_site_label
_atom_site_fract_x
_atom_site_fract_y
_atom_site_fract_z
P1 0.0000 0.0000 0.0000
Os1 0.0000 0.0000 0.5000
Os2 0.0000 0.5000 0.2864
# Total magnetization = 0.00 μB/f.u.
# Energy relative to the lowest polymorph listed for this composition = 32.5 meV per atom

=====

[2]
# PBE POs3, optimized geometry
data_POs3
_symmetry_space_group_name_H-M 'P 4/m m m'
_symmetry_Int_Tables_number 123
_symmetry_space_group_name_Hall '-P 4 2'
_cell_length_a 2.8395
_cell_length_b 2.8395
_cell_length_c 6.7175
_cell_angle_alpha 90.00
_cell_angle_beta 90.00
_cell_angle_gamma 90.00
loop_
_atom_site_label
_atom_site_fract_x
_atom_site_fract_y
_atom_site_fract_z
P1 0.0000 0.0000 0.0000
Os1 0.0000 0.0000 0.5000
Os2 0.5000 0.5000 0.2151
# Total magnetization = 0.00 μB/f.u.
# Energy relative to the lowest polymorph listed for this composition = 0.0 meV per atom

=====

[3]
# PBE P3Os5, optimized geometry
data_P3Os5
_symmetry_space_group_name_H-M 'C 1 m 1'
_symmetry_Int_Tables_number 8
_cell_length_a 5.6423
_cell_length_b 12.4814
_cell_length_c 6.8454
_cell_angle_alpha 90.00
_cell_angle_beta 114.18
_cell_angle_gamma 90.00
loop_
_symmetry_equiv_pos_as_xyz
'x,y,z'
'x,-y,z'
'x+1/2,y+1/2,z'
'x+1/2,-y+1/2,z'
loop_
_atom_site_label
_atom_site_fract_x
_atom_site_fract_y
_atom_site_fract_z
P1 0.0000 0.0000 0.0000
P2 0.0531 0.2495 0.8876
P3 0.1930 0.3066 0.3869
P4 0.3865 0.0000 0.7736
Os1 0.1543 0.1581 0.6145
Os2 0.1988 0.3861 0.7035
Os3 0.2892 0.0000 0.3874
Os4 0.2886 0.5000 0.3871
Os5 0.3836 0.1138 0.0705
Os6 0.4278 0.3419 0.1596
# Total magnetization = 0.00 μB/f.u.
# Energy relative to the lowest polymorph listed for this composition = 0.0 meV per atom

=====

[4]
# PBE P3Os5, optimized geometry
data_P3Os5
_symmetry_space_group_name_H-M 'P 63/m c m'
_symmetry_Int_Tables_number 193
_symmetry_space_group_name_Hall '-P 6c 2'
_cell_length_a 6.9101
_cell_length_b 6.9101
_cell_length_c 5.5297
_cell_angle_alpha 90.00
_cell_angle_beta 90.00
_cell_angle_gamma 120.00
loop_
_atom_site_label
_atom_site_fract_x
_atom_site_fract_y
_atom_site_fract_z
P1 0.0000 0.3722 0.2500
Os1 0.0000 0.2961 0.7500
Os2 0.3333 0.6667 0.0000
# Total magnetization = 0.00 μB/f.u.
# Energy relative to the lowest polymorph listed for this composition = 214.5 meV per atom

=====

[5]
# PBE POs2, optimized geometry
data_POs2
_symmetry_space_group_name_H-M 'P 6/m m m'
_symmetry_Int_Tables_number 191
_symmetry_space_group_name_Hall '-P 6 2'
_cell_length_a 4.2936
_cell_length_b 4.2936
_cell_length_c 2.8223
_cell_angle_alpha 90.00
_cell_angle_beta 90.00
_cell_angle_gamma 120.00
loop_
_atom_site_label
_atom_site_fract_x
_atom_site_fract_y
_atom_site_fract_z
P1 0.0000 0.0000 0.0000
Os1 0.3333 0.6667 0.5000
# Total magnetization = 0.00 μB/f.u.

=====

[6]
# PBE P3Os, optimized geometry
data_P3Os
_symmetry_space_group_name_H-M 'P m -3 n'
_symmetry_Int_Tables_number 223
_symmetry_space_group_name_Hall '-P 4n 2 3'
_cell_length_a 4.8309
_cell_length_b 4.8309
_cell_length_c 4.8309
_cell_angle_alpha 90.00
_cell_angle_beta 90.00
_cell_angle_gamma 90.00
loop_
_atom_site_label
_atom_site_fract_x
_atom_site_fract_y
_atom_site_fract_z
P1 0.0000 0.2500 0.5000
Os1 0.0000 0.0000 0.0000
# Total magnetization = 0.00 μB/f.u.
# Energy relative to the lowest polymorph listed for this composition = 729.8 meV per atom

=====

[7]
# PBE POs3, optimized geometry
data_POs3
_symmetry_space_group_name_H-M 'R -3 m'
_symmetry_Int_Tables_number 166
_symmetry_space_group_name_Hall '-R 3 2"'
_cell_length_a 8.3912
_cell_length_b 8.3912
_cell_length_c 2.8426
_cell_angle_alpha 90.00
_cell_angle_beta 90.00
_cell_angle_gamma 120.00
loop_
_atom_site_label
_atom_site_fract_x
_atom_site_fract_y
_atom_site_fract_z
P1 0.0000 0.0000 0.0000
Os1 0.0000 0.5000 0.0000
# Total magnetization = 0.00 μB/f.u.
# Energy relative to the lowest polymorph listed for this composition = 707.0 meV per atom

=====

[8]
# PBE P5Os, optimized geometry
data_P5Os
_symmetry_space_group_name_H-M 'A m m 2'
_symmetry_Int_Tables_number 38
_cell_length_a 4.1990
_cell_length_b 3.7717
_cell_length_c 12.7012
_cell_angle_alpha 90.00
_cell_angle_beta 90.00
_cell_angle_gamma 90.00
loop_
_symmetry_equiv_pos_as_xyz
'x,y,z'
'-x,-y,z'
'-x,y,z'
'x,-y,z'
'x,y+1/2,z+1/2'
'-x,-y+1/2,z+1/2'
'-x,y+1/2,z+1/2'
'x,-y+1/2,z+1/2'
loop_
_atom_site_label
_atom_site_fract_x
_atom_site_fract_y
_atom_site_fract_z
P1 0.0000 0.0000 0.0000
P2 0.0000 0.0000 0.2527
P3 0.5000 0.0000 0.1768
P4 0.5000 0.0000 0.5247
P5 0.5000 0.0000 0.9133
Os1 0.0000 0.0000 0.6128
# Total magnetization = 0.00 μB/f.u.
# Energy relative to the lowest polymorph listed for this composition = 58.8 meV per atom

=====

| no. | DOS(E_F) (states/eV per cell) | E_tot (eV/atom) | energy relative to the elements (eV/atom) |
| --- | --- | --- | --- |
| 1 | 4.17 | -9.63 | 0.14 |
| 2 | 2.24 | -9.66 | 0.11 |
| 3 | 10.65 | -8.95 | 0.09 |
| 4 | 6.16 | -8.74 | 0.31 |
| 5 | 3.23 | -8.36 | 0.93 |
| 6 | 4.37 | -6.22 | 0.64 |
| 7 | 15.75 | -8.96 | 0.82 |
| 8 | 3.50 | -6.13 | 0.25 |